A | This record from the Alexandria database describes crystalline ScOsO2 at its relaxed geometry. The functional is PBE-GGA.

**Space-group type**: No. 166
**M_tot**: 1.108 μB per formula unit

Cell and atoms, written as CIF:
```
data_ScOsO2
_chemical_formula_sum 'Sc1 Os1 O2'
_symmetry_space_group_name_H-M 'P 1'
_symmetry_Int_Tables_number 1
_cell_length_a 6.527
_cell_length_b 6.527
_cell_length_c 6.527
_cell_angle_alpha 26.60
_cell_angle_beta 26.60
_cell_angle_gamma 26.60
loop_
_symmetry_equiv_pos_as_xyz
'x,y,z'
loop_
_atom_site_label
_atom_site_type_symbol
_atom_site_fract_x
_atom_site_fract_y
_atom_site_fract_z
Sc1 Sc 0.500 0.500 0.500
Os1 Os 0.000 0.000 0.000
O1 O 0.893 0.893 0.893
O2 O 0.107 0.107 0.107
```

=====

B | This record from the Alexandria database describes crystalline ScOsO2 at its relaxed geometry. The functional is PBE-GGA.

**Space-group type**: No. 225
**M_tot**: 0.000 μB per formula unit

Cell and atoms, written as CIF:
```
data_ScOsO2
_chemical_formula_sum 'Sc1 Os1 O2'
_symmetry_space_group_name_H-M 'P 1'
_symmetry_Int_Tables_number 1
_cell_length_a 3.962
_cell_length_b 3.962
_cell_length_c 3.962
_cell_angle_alpha 60.00
_cell_angle_beta 60.00
_cell_angle_gamma 60.00
loop_
_symmetry_equiv_pos_as_xyz
'x,y,z'
loop_
_atom_site_label
_atom_site_type_symbol
_atom_site_fract_x
_atom_site_fract_y
_atom_site_fract_z
Sc1 Sc 0.000 0.000 0.000
Os1 Os 0.500 0.500 0.500
O1 O 0.250 0.250 0.250
O2 O 0.750 0.750 0.750
```

=====

Consider the structures shown above. The least stable of them is B.